Entry 1:
Here is GaSnBi2 after structural relaxation from the Alexandria database. Energies are from PBE.

a b c (Å): 6.7652 6.7652 8.3101
angles (deg): 65.98 65.98 90.00
Last column: nearest neighbours and their distance in Å.
Fractional positions:
Bi (0.8750, 0.8510, 0.7500)  2 Ga 2.84, 2 Sn 3.03
Bi (0.1490, 0.6250, 0.2500)  2 Ga 2.84, 2 Sn 3.03
Bi (0.6010, 0.1250, 0.2500)  2 Ga 2.84, 2 Sn 3.03
Bi (0.3750, 0.3990, 0.7500)  2 Ga 2.84, 2 Sn 3.03
Sn (0.7500, 0.2500, 0.5000)  4 Bi 3.03
Sn (0.0000, 0.0000, 0.0000)  4 Bi 3.03
Ga (0.2500, 0.7500, 0.5000)  4 Bi 2.84
Ga (0.5000, 0.5000, 0.0000)  4 Bi 2.84

Uncorrected energy in eV per atom: -3.57
Space group: I-42d (122)

Entry 2:
Here is Tm6Bi2P after structural relaxation from the Alexandria database. Energies are from PBE.

a b c (Å): 6.4185 7.8889 9.9800
angles (deg): 90.00 91.86 90.00
Last column: nearest neighbours and their distance in Å.
Fractional positions:
Tm (0.6260, 0.4757, 0.2623)  1 P 2.72
Tm (0.3640, 0.8200, 0.0445)  1 P 2.71
Tm (0.1466, 0.3123, 0.0426)  1 P 2.75
Tm (0.3534, 0.8123, 0.4574)  1 P 2.75
Tm (0.1360, 0.3200, 0.4555)  1 P 2.71
Tm (0.3740, 0.5243, 0.7377)  1 P 2.72
Tm (0.8534, 0.6877, 0.9574)  1 P 2.75
Tm (0.6360, 0.1800, 0.9555)  1 P 2.71
Tm (0.1260, 0.0243, 0.7623)  1 P 2.72
Tm (0.8640, 0.6800, 0.5445)  1 P 2.71
Tm (0.8740, 0.9757, 0.2377)  1 P 2.72
Tm (0.6466, 0.1877, 0.5426)  1 P 2.75
Bi (0.5868, 0.8852, 0.7457)  8 Tm 3.10-3.39
Bi (0.4132, 0.1148, 0.2543)  8 Tm 3.10-3.39
Bi (0.0868, 0.6148, 0.2457)  8 Tm 3.10-3.39
Bi (0.9132, 0.3852, 0.7543)  8 Tm 3.10-3.39
P (0.5000, 0.5000, 0.0000)  6 Tm 2.71-2.75
P (0.0000, 0.0000, 0.5000)  6 Tm 2.71-2.75

Uncorrected energy in eV per atom: -5.10
Space group: P2_1/c (14)

Entry 3:
Here is Sr3V2N4 after structural relaxation from the Alexandria database. Energies are from PBE.

a b c (Å): 7.2213 8.6262 5.6935
angles (deg): 90.00 92.22 126.66
Last column: nearest neighbours and their distance in Å.
Fractional positions:
V (0.5893, 0.4161, 0.0800)  4 N 1.90-2.00
V (0.5893, 0.1731, 0.5800)  4 N 1.90-2.00
V (0.4107, 0.5839, 0.9200)  4 N 1.90-2.00
V (0.4107, 0.8269, 0.4200)  4 N 1.90-2.00
N (0.7335, 0.6854, 0.9755)  2 V 1.95-2.00
N (0.7336, 0.0481, 0.4753)  2 V 1.95-2.00
N (0.2665, 0.3146, 0.0245)  2 V 1.95-2.00
N (0.3452, 0.7320, 0.1038)  2 V 1.90-1.93
N (0.6547, 0.3868, 0.3962)  2 V 1.90-1.93
N (0.3453, 0.6132, 0.6038)  2 V 1.90-1.93
N (0.2664, 0.9519, 0.5247)  2 V 1.95-2.00
N (0.6548, 0.2680, 0.8962)  2 V 1.90-1.93
Sr (0.9999, 0.6034, 0.7499)  6 N 2.61-2.80
Sr (0.2386, 0.2498, 0.5469)  5 N 2.67-2.97, 1 V 2.98
Sr (0.2386, 0.9887, 0.0467)  5 N 2.67-2.97, 1 V 2.98
Sr (0.0001, 0.3966, 0.2501)  6 N 2.61-2.80
Sr (0.7614, 0.0113, 0.9533)  5 N 2.67-2.97, 1 V 2.98
Sr (0.7614, 0.7501, 0.4531)  5 N 2.67-2.97, 1 V 2.98

Formation energy (no corrections) in eV/atom: -0.7918
Space group: C2/c (15)

Entry 4:
Here is Pr7Nd2Sm2 after structural relaxation from the Alexandria database. Energies are from PBE.

a b c (Å): 9.6824 7.0651 7.0651
angles (deg): 122.29 90.01 89.99
Last column: nearest neighbours and their distance in Å.
Fractional positions:
Sm (0.0000, 0.7340, 0.2660)  7 Pr 3.29-3.52, 2 Sm 3.43
Sm (0.0000, 0.2660, 0.7340)  7 Pr 3.29-3.52, 2 Sm 3.43
Pr (0.0000, 0.0000, 0.0000)  2 Sm 3.29
Pr (0.3177, 0.5000, 0.0000)  5 Pr 3.41-3.79, 2 Sm 3.52, 2 Nd 3.56
Pr (0.3177, 0.0000, 0.5000)  5 Pr 3.41-3.79, 2 Sm 3.52, 2 Nd 3.56
Pr (0.6823, 0.5000, 0.0000)  5 Pr 3.41-3.79, 2 Sm 3.52, 2 Nd 3.56
Pr (0.6823, 0.0000, 0.5000)  5 Pr 3.41-3.79, 2 Sm 3.52, 2 Nd 3.56
Pr (0.1767, 0.5000, 0.5000)  2 Sm 3.36, 1 Pr 3.42, 2 Nd 3.57
Pr (0.8233, 0.5000, 0.5000)  2 Sm 3.36, 1 Pr 3.42, 2 Nd 3.57
Nd (0.5000, 0.7507, 0.7507)  2 Nd 3.40-3.42, 6 Pr 3.56-3.57
Nd (0.5000, 0.2493, 0.2493)  2 Nd 3.40-3.42, 6 Pr 3.56-3.57

Energy relative to the lowest polymorph listed for this composition in meV per atom: 209
Space group: Cmmm (65)

Entry 5:
Here is RbLiMn2Cl8 after structural relaxation from the Alexandria database. Energies are from PBE.

a b c (Å): 6.6191 6.6191 9.0874
angles (deg): 90.00 90.00 120.00
Last column: nearest neighbours and their distance in Å.
Fractional positions:
Cl (0.6749, 0.6994, 0.6732)  1 Mn 2.24
Cl (0.6994, 0.0244, 0.3268)  1 Mn 2.24
Cl (0.9756, 0.6749, 0.3268)  1 Mn 2.24
Cl (0.0244, 0.3251, 0.6732)  1 Mn 2.24
Cl (0.3251, 0.3006, 0.3268)  1 Mn 2.24
Cl (0.3333, 0.6667, 0.9785)  1 Mn 2.20
Cl (0.3006, 0.9756, 0.6732)  1 Mn 2.24
Cl (0.6667, 0.3333, 0.0215)  1 Mn 2.20
Mn (0.6667, 0.3333, 0.2637)  4 Cl 2.20-2.24
Mn (0.3333, 0.6667, 0.7363)  4 Cl 2.20-2.24
Rb (0.0000, 0.0000, 0.0000)  12 Cl 3.62-3.83
Li (0.0000, 0.0000, 0.5000)  6 Cl 2.60

Formation energy (no corrections) in eV/atom: -1.1992
Space group: P-3 (147)

Entry 6:
Here is LaNd2Mg after structural relaxation from the Alexandria database. Energies are from PBE.

a b c (Å): 3.6323 3.6323 11.8412
angles (deg): 81.18 81.18 60.00
Last column: nearest neighbours and their distance in Å.
Fractional positions:
Mg (0.4999, 0.4999, 0.5004)  6 Nd 3.49-3.50, 6 Mg 3.63
Nd (0.2464, 0.2464, 0.2608)  3 Mg 3.49, 6 Nd 3.63, 3 La 3.71
Nd (0.0865, 0.0865, 0.7405)  3 Mg 3.50, 6 Nd 3.63, 3 La 3.66
La (0.6672, 0.6672, 0.9984)  6 La 3.63, 6 Nd 3.66-3.71

Energy relative to the lowest polymorph listed for this composition in meV per atom: 81
Space group: R3m (160)

Entry 7:
Here is Ba2BiSe after structural relaxation from the Alexandria database. Energies are from PBE.

a b c (Å): 4.0354 4.0354 8.8434
angles (deg): 90.00 90.00 90.00
Last column: nearest neighbours and their distance in Å.
Fractional positions:
Ba (0.0000, 0.0000, 0.7776)  4 Se 3.47, 4 Bi 3.76
Ba (0.0000, 0.0000, 0.2224)  4 Se 3.47, 4 Bi 3.76
Bi (0.5000, 0.5000, 0.5000)  8 Ba 3.76, 4 Bi 4.04
Se (0.5000, 0.5000, 0.0000)  8 Ba 3.47

Formation energy (no corrections) in eV/atom: -1.3150
Energy relative to the lowest polymorph listed for this composition in meV per atom: 46
Space group: P4/mmm (123)

Entry 8:
Here is MnSnIrPt after structural relaxation from the Alexandria database. Energies are from PBE.

a b c (Å): 4.2208 4.2070 5.2132
angles (deg): 90.07 114.16 119.87
Last column: nearest neighbours and their distance in Å.
Fractional positions:
Mn (0.5555, 0.1121, 0.2677)  3 Pt 2.54, 1 Sn 2.60, 3 Ir 2.61-2.62
Ir (0.7508, 0.7095, 0.0597)  3 Mn 2.61-2.62, 1 Pt 2.91
Sn (0.1781, 0.9240, 0.7015)  1 Mn 2.60, 3 Pt 2.74
Pt (0.3277, 0.4986, 0.4262)  3 Mn 2.54, 3 Sn 2.74

Uncorrected energy in eV per atom: -7.11
Space group: Cm (8)